First-principles (PBE-GGA) data for a relaxed structure of Rb14NaAu, as listed in Alexandria.

The final energy is -1.1497 eV/atom. The formation energy comes out at -0.02 eV/atom. The symmetry is Amm2.

Unit cell a=9.762 b=9.762 c=13.781 alpha=90.00 beta=90.00 gamma=105.02
Fractional coordinates of all 16 atoms:
Rb (0.449, 0.180, 0.677)
Rb (0.914, 0.086, 0.295)
Rb (0.329, 0.671, 0.765)
Rb (0.101, 0.899, 0.000)
Rb (0.570, 0.430, 0.000)
Rb (0.820, 0.551, 0.323)
Rb (0.914, 0.086, 0.705)
Rb (0.597, 0.855, 0.500)
Rb (0.626, 0.955, 0.000)
Rb (0.449, 0.180, 0.323)
Rb (0.045, 0.374, 0.000)
Rb (0.820, 0.551, 0.677)
Rb (0.145, 0.403, 0.500)
Rb (0.329, 0.671, 0.235)
Na (0.133, 0.867, 0.500)
Au (0.759, 0.241, 0.500)

First-principles (PBE-GGA) data for a relaxed structure of Rb3Na4Au4, as listed in Alexandria.

The final energy is -2.1370 eV/atom. The formation energy comes out at -0.20 eV/atom. For the energy relative to the lowest polymorph listed for this composition, the calculation gives 47.0 kJ/mol of formula units. The symmetry is I-43m.

Unit cell a=7.957 b=7.957 c=7.957 alpha=109.47 beta=109.47 gamma=109.47
Fractional coordinates of all 11 atoms:
Rb (0.500, 0.000, 0.500)
Rb (0.500, 0.500, 0.000)
Rb (0.000, 0.500, 0.500)
Au (0.000, 0.000, 0.629)
Au (0.371, 0.371, 0.371)
Au (0.629, 0.000, 0.000)
Au (0.000, 0.629, 0.000)
Na (0.266, 0.000, 0.000)
Na (0.734, 0.734, 0.734)
Na (0.000, 0.266, 0.000)
Na (0.000, 0.000, 0.266)

First-principles (PBE-GGA) data for a relaxed structure of RbNaAu2, as listed in Alexandria.

The final energy is -2.2919 eV/atom. The formation energy comes out at -0.08 eV/atom. For the energy relative to the lowest polymorph listed for this composition, the calculation gives 73.6 kJ/mol of formula units. The symmetry is I-42d.

Unit cell a=7.354 b=7.354 c=8.782 alpha=65.25 beta=65.25 gamma=90.00
Fractional coordinates of all 8 atoms:
Au (0.375, 0.432, 0.750)
Au (0.182, 0.625, 0.250)
Au (0.568, 0.125, 0.250)
Au (0.875, 0.818, 0.750)
Rb (0.000, 0.000, 0.000)
Rb (0.750, 0.250, 0.500)
Na (0.250, 0.750, 0.500)
Na (0.500, 0.500, 0.000)

First-principles (PBE-GGA) data for a relaxed structure of Rb2NaAu2, as listed in Alexandria.

The final energy is -1.9580 eV/atom. The formation energy comes out at 0.00 eV/atom. For the energy relative to the lowest polymorph listed for this composition, the calculation gives 125.5 kJ/mol of formula units. The symmetry is I4/mmm.

Unit cell a=6.265 b=6.265 c=7.257 alpha=64.43 beta=64.43 gamma=90.00
Fractional coordinates of all 5 atoms:
Rb (0.655, 0.655, 0.690)
Rb (0.345, 0.345, 0.310)
Au (0.750, 0.250, 0.500)
Au (0.250, 0.750, 0.500)
Na (0.000, 0.000, 0.000)

First-principles (PBE-GGA) data for a relaxed structure of RbNa2Au9, as listed in Alexandria.

The final energy is -3.0165 eV/atom. The formation energy comes out at -0.26 eV/atom. The symmetry is R-3m.

Unit cell a=5.724 b=5.724 c=9.770 alpha=72.97 beta=72.97 gamma=60.00
Fractional coordinates of all 12 atoms:
Au (0.333, 0.333, 0.001)
Au (0.412, 0.919, 0.256)
Au (0.667, 0.667, 0.999)
Au (0.500, 0.500, 0.500)
Au (0.081, 0.588, 0.744)
Au (0.919, 0.412, 0.256)
Au (0.588, 0.588, 0.744)
Au (0.588, 0.081, 0.744)
Au (0.412, 0.412, 0.256)
Rb (0.000, 0.000, 0.000)
Na (0.145, 0.145, 0.566)
Na (0.855, 0.855, 0.434)

First-principles (PBE-GGA) data for a relaxed structure of Rb6Na2Au, as listed in Alexandria.

The final energy is -1.3403 eV/atom. The formation energy comes out at -0.04 eV/atom. The symmetry is C2/m.

Unit cell a=9.540 b=9.540 c=9.542 alpha=59.98 beta=59.98 gamma=60.01
Fractional coordinates of all 9 atoms:
Na (0.250, 0.250, 0.250)
Na (0.750, 0.750, 0.750)
Au (0.500, 0.500, 0.500)
Rb (0.752, 0.752, 0.249)
Rb (0.249, 0.752, 0.248)
Rb (0.752, 0.249, 0.248)
Rb (0.751, 0.248, 0.752)
Rb (0.248, 0.248, 0.751)
Rb (0.248, 0.751, 0.752)

First-principles (PBE-GGA) data for a relaxed structure of Rb10Na2Au3, as listed in Alexandria.

The final energy is -1.5719 eV/atom. The formation energy comes out at -0.10 eV/atom. The symmetry is C2/m.

Unit cell a=9.732 b=13.231 c=16.670 alpha=110.62 beta=106.97 gamma=90.00
Fractional coordinates of all 30 atoms:
Rb (0.132, 0.741, 0.265)
Rb (0.000, 0.000, 0.500)
Rb (0.760, 0.702, 0.520)
Rb (0.385, 0.054, 0.230)
Rb (0.604, 0.546, 0.706)
Rb (0.845, 0.054, 0.230)
Rb (0.396, 0.454, 0.294)
Rb (0.750, 0.500, 0.000)
Rb (0.989, 0.813, 0.978)
Rb (0.500, 0.000, 0.500)
Rb (0.155, 0.946, 0.770)
Rb (0.868, 0.259, 0.735)
Rb (0.615, 0.946, 0.770)
Rb (0.011, 0.187, 0.022)
Rb (0.487, 0.798, 0.974)
Rb (0.250, 0.500, 0.000)
Rb (0.898, 0.454, 0.294)
Rb (0.240, 0.298, 0.480)
Rb (0.513, 0.202, 0.026)
Rb (0.102, 0.546, 0.706)
Au (0.259, 0.000, 0.000)
Au (0.741, 0.000, 0.000)
Au (0.070, 0.462, 0.141)
Au (0.930, 0.538, 0.859)
Au (0.823, 0.977, 0.646)
Au (0.177, 0.023, 0.354)
Na (0.377, 0.255, 0.754)
Na (0.266, 0.699, 0.532)
Na (0.734, 0.301, 0.468)
Na (0.623, 0.745, 0.246)

First-principles (PBE-GGA) data for a relaxed structure of Rb2NaAu2, as listed in Alexandria.

The final energy is -2.1682 eV/atom. The formation energy comes out at -0.21 eV/atom. For the energy relative to the lowest polymorph listed for this composition, the calculation gives 24.1 kJ/mol of formula units. The symmetry is P4/mbm.

Unit cell a=8.893 b=8.893 c=4.729 alpha=90.00 beta=90.00 gamma=90.00
Fractional coordinates of all 10 atoms:
Rb (0.648, 0.852, 0.500)
Rb (0.852, 0.352, 0.500)
Rb (0.352, 0.148, 0.500)
Rb (0.148, 0.648, 0.500)
Au (0.156, 0.344, 0.000)
Au (0.344, 0.844, 0.000)
Au (0.844, 0.656, 0.000)
Au (0.656, 0.156, 0.000)
Na (0.000, 0.000, 0.000)
Na (0.500, 0.500, 0.000)

First-principles (PBE-GGA) data for a relaxed structure of Rb2NaAuS, as listed in Alexandria.

The formation energy (no corrections) is -627 meV/atom. The final energy is -2.7591 eV/atom. The symmetry is P4/mmm.

Unit cell a=6.407 b=6.407 c=5.181 alpha=90.00 beta=90.00 gamma=90.00
Fractional coordinates of all 5 atoms:
Na (0.000, 0.000, 0.500)
Rb (0.000, 0.500, 0.000)
Rb (0.500, 0.000, 0.000)
S (0.000, 0.000, 0.000)
Au (0.500, 0.500, 0.500)

First-principles (PBE-GGA) data for a relaxed structure of RbNa2AuS, as listed in Alexandria.

The formation energy (no corrections) is -617 meV/atom. The final energy is -2.8190 eV/atom. The symmetry is P4/mmm.

Unit cell a=5.263 b=5.263 c=6.448 alpha=90.00 beta=90.00 gamma=90.00
Fractional coordinates of all 5 atoms:
Na (0.500, 0.000, 0.000)
Na (0.000, 0.500, 0.000)
Au (0.500, 0.500, 0.500)
S (0.000, 0.000, 0.000)
Rb (0.000, 0.000, 0.500)

First-principles (PBE-GGA) data for a relaxed structure of RbNa2SbAu, as listed in Alexandria.

The formation energy (no corrections) is -233 meV/atom. The final energy is -2.4336 eV/atom. The symmetry is P4/mmm.

Unit cell a=5.727 b=5.727 c=5.403 alpha=90.00 beta=90.00 gamma=90.00
Fractional coordinates of all 5 atoms:
Na (0.000, 0.500, 0.000)
Na (0.500, 0.000, 0.000)
Au (0.000, 0.000, 0.000)
Sb (0.000, 0.000, 0.500)
Rb (0.500, 0.500, 0.500)

First-principles (PBE-GGA) data for a relaxed structure of RbNaSbAu2, as listed in Alexandria.

The formation energy (no corrections) is -192 meV/atom. The final energy is -2.7850 eV/atom. The symmetry is P4/mmm.

Unit cell a=5.507 b=5.683 c=5.507 alpha=90.00 beta=90.00 gamma=90.00
Fractional coordinates of all 5 atoms:
Rb (0.500, 0.500, 0.500)
Au (0.500, 0.000, 0.000)
Au (0.000, 0.000, 0.500)
Na (0.000, 0.500, 0.000)
Sb (0.000, 0.000, 0.000)

First-principles (PBE-GGA) data for a relaxed structure of Rb2NaSiAu, as listed in Alexandria.

The formation energy (no corrections) is 28 meV/atom. The final energy is -2.3631 eV/atom. The symmetry is P4/mmm.

Unit cell a=6.943 b=6.943 c=4.642 alpha=90.00 beta=90.00 gamma=90.00
Fractional coordinates of all 5 atoms:
Na (0.500, 0.500, 0.500)
Rb (0.000, 0.500, 0.000)
Rb (0.500, 0.000, 0.000)
Au (0.000, 0.000, 0.000)
Si (0.000, 0.000, 0.500)

First-principles (PBE-GGA) data for a relaxed structure of RbNa2SiAu, as listed in Alexandria.

The formation energy (no corrections) is -51 meV/atom. The final energy is -2.5120 eV/atom. For the energy relative to the lowest polymorph listed for this composition, the calculation gives 3.8 kJ/mol of formula units. The symmetry is P4/mmm.

Unit cell a=5.775 b=5.775 c=4.722 alpha=90.00 beta=90.00 gamma=90.00
Fractional coordinates of all 5 atoms:
Si (0.000, 0.000, 0.500)
Na (0.500, 0.000, 0.000)
Na (0.000, 0.500, 0.000)
Rb (0.500, 0.500, 0.500)
Au (0.000, 0.000, 0.000)

First-principles (PBE-GGA) data for a relaxed structure of RbNa2SiAu, as listed in Alexandria.

The formation energy (no corrections) is -59 meV/atom. The final energy is -2.5199 eV/atom. For the energy relative to the lowest polymorph listed for this composition, the calculation gives 0.0 kJ/mol of formula units. The symmetry is P4/mmm.

Unit cell a=5.731 b=5.731 c=4.799 alpha=90.00 beta=90.00 gamma=90.00
Fractional coordinates of all 5 atoms:
Na (0.500, 0.000, 0.000)
Na (0.000, 0.500, 0.000)
Rb (0.500, 0.500, 0.500)
Au (0.000, 0.000, 0.500)
Si (0.000, 0.000, 0.000)

First-principles (PBE-GGA) data for a relaxed structure of RbNaSr2Au, as listed in Alexandria.

The final energy is -1.9999 eV/atom. The formation energy comes out at -0.21 eV/atom. For the energy relative to the lowest polymorph listed for this composition, the calculation gives 0.0 kJ/mol of formula units. The symmetry is P4/mmm.

Unit cell a=6.187 b=6.187 c=6.230 alpha=90.00 beta=90.00 gamma=90.00
Fractional coordinates of all 5 atoms:
Rb (0.500, 0.500, 0.500)
Na (0.000, 0.000, 0.500)
Sr (0.000, 0.500, 0.000)
Sr (0.500, 0.000, 0.000)
Au (0.000, 0.000, 0.000)

First-principles (PBE-GGA) data for a relaxed structure of Rb2NaSrAu, as listed in Alexandria.

The final energy is -1.7502 eV/atom. The formation energy comes out at -0.11 eV/atom. The symmetry is P4/mmm.

Unit cell a=6.725 b=6.725 c=6.230 alpha=90.00 beta=90.00 gamma=90.00
Fractional coordinates of all 5 atoms:
Rb (0.000, 0.500, 0.000)
Rb (0.500, 0.000, 0.000)
Na (0.500, 0.500, 0.500)
Sr (0.000, 0.000, 0.500)
Au (0.000, 0.000, 0.000)

First-principles (PBE-GGA) data for a relaxed structure of RbNaSr2Au, as listed in Alexandria.

The final energy is -1.9776 eV/atom. The formation energy comes out at -0.19 eV/atom. For the energy relative to the lowest polymorph listed for this composition, the calculation gives 10.7 kJ/mol of formula units. The symmetry is P4/mmm.

Unit cell a=6.160 b=6.160 c=6.728 alpha=90.00 beta=90.00 gamma=90.00
Fractional coordinates of all 5 atoms:
Sr (0.500, 0.000, 0.000)
Sr (0.000, 0.500, 0.000)
Rb (0.000, 0.000, 0.500)
Na (0.500, 0.500, 0.500)
Au (0.000, 0.000, 0.000)

First-principles (PBE-GGA) data for a relaxed structure of RbNaTlAu2, as listed in Alexandria.

The final energy is -2.4867 eV/atom. The formation energy comes out at -0.25 eV/atom. The symmetry is I-4m2.

Unit cell a=4.885 b=4.885 c=7.107 alpha=110.10 beta=110.10 gamma=90.00
Fractional coordinates of all 5 atoms:
Rb (0.000, 0.000, 0.000)
Tl (0.750, 0.250, 0.500)
Na (0.250, 0.750, 0.500)
Au (0.611, 0.611, 0.222)
Au (0.389, 0.389, 0.778)

First-principles (PBE-GGA) data for a relaxed structure of Rb2NaTlAu, as listed in Alexandria.

The final energy is -1.8214 eV/atom. The formation energy comes out at -0.04 eV/atom. For the energy relative to the lowest polymorph listed for this composition, the calculation gives 0.0 kJ/mol of formula units. The symmetry is P4/mmm.

Unit cell a=6.617 b=6.617 c=5.805 alpha=90.00 beta=90.00 gamma=90.00
Fractional coordinates of all 5 atoms:
Rb (0.500, 0.000, 0.000)
Rb (0.000, 0.500, 0.000)
Au (0.000, 0.000, 0.000)
Tl (0.000, 0.000, 0.500)
Na (0.500, 0.500, 0.500)

First-principles (PBE-GGA) data for a relaxed structure of RbNaTl4Au2, as listed in Alexandria.

The final energy is -2.3604 eV/atom. The formation energy comes out at -0.07 eV/atom. The symmetry is P4/mmm.

Unit cell a=4.582 b=4.582 c=12.812 alpha=90.00 beta=90.00 gamma=90.00
Fractional coordinates of all 8 atoms:
Au (0.500, 0.500, 0.604)
Au (0.500, 0.500, 0.396)
Na (0.000, 0.000, 0.500)
Rb (0.000, 0.000, 0.000)
Tl (0.000, 0.500, 0.756)
Tl (0.500, 0.000, 0.244)
Tl (0.500, 0.000, 0.756)
Tl (0.000, 0.500, 0.244)

First-principles (PBE-GGA) data for a relaxed structure of RbNa2TlAu, as listed in Alexandria.

The final energy is -1.8582 eV/atom. The formation energy comes out at -0.01 eV/atom. For the energy relative to the lowest polymorph listed for this composition, the calculation gives 52.4 kJ/mol of formula units. The symmetry is P4/mmm.

Unit cell a=6.029 b=6.029 c=5.384 alpha=90.00 beta=90.00 gamma=90.00
Fractional coordinates of all 5 atoms:
Au (0.000, 0.000, 0.500)
Na (0.000, 0.500, 0.000)
Na (0.500, 0.000, 0.000)
Rb (0.500, 0.500, 0.500)
Tl (0.000, 0.000, 0.000)

First-principles (PBE-GGA) data for a relaxed structure of RbNa2TlAu, as listed in Alexandria.

The final energy is -1.9668 eV/atom. The formation energy comes out at -0.12 eV/atom. For the energy relative to the lowest polymorph listed for this composition, the calculation gives 0.0 kJ/mol of formula units. The symmetry is P4/mmm.

Unit cell a=5.754 b=5.754 c=5.769 alpha=90.00 beta=90.00 gamma=90.00
Fractional coordinates of all 5 atoms:
Rb (0.500, 0.500, 0.500)
Au (0.000, 0.000, 0.000)
Na (0.500, 0.000, 0.000)
Na (0.000, 0.500, 0.000)
Tl (0.000, 0.000, 0.500)

First-principles (PBE-GGA) data for a relaxed structure of Rb2NaTl4Au3, as listed in Alexandria.

The final energy is -2.3947 eV/atom. The formation energy comes out at -0.14 eV/atom. The symmetry is P-4m2.

Unit cell a=5.202 b=5.202 c=11.682 alpha=90.00 beta=90.00 gamma=90.00
Fractional coordinates of all 10 atoms:
Tl (0.000, 0.000, 0.000)
Tl (0.000, 0.500, 0.367)
Tl (0.500, 0.500, 0.000)
Tl (0.500, 0.000, 0.633)
Rb (0.500, 0.000, 0.246)
Rb (0.000, 0.500, 0.754)
Au (0.000, 0.500, 0.123)
Au (0.500, 0.000, 0.877)
Au (0.000, 0.000, 0.500)
Na (0.500, 0.500, 0.500)

First-principles (PBE-GGA) data for a relaxed structure of Rb2NaTlAu, as listed in Alexandria.

The final energy is -1.7859 eV/atom. The formation energy comes out at -0.01 eV/atom. For the energy relative to the lowest polymorph listed for this composition, the calculation gives 17.1 kJ/mol of formula units. The symmetry is P4/mmm.

Unit cell a=6.586 b=6.586 c=5.673 alpha=90.00 beta=90.00 gamma=90.00
Fractional coordinates of all 5 atoms:
Tl (0.500, 0.500, 0.500)
Au (0.000, 0.000, 0.000)
Na (0.000, 0.000, 0.500)
Rb (0.500, 0.000, 0.000)
Rb (0.000, 0.500, 0.000)

Size of the total moment for every record listed, in sequence, given in μB per formula unit: 0.00 0.00 0.00 0.00 0.00 0.00 0.00 0.00 0.00 0.00 0.03 0.00 0.00 0.00 0.00 0.00 0.00 0.00 0.00 0.00 0.00 0.00 0.00 0.00 0.00.